#P
VASP calculation (GGA-PBE) on PrMg2Cd9 after structural relaxation.

```
24
Lattice="-5.952 5.952 3.886 5.952 -5.952 3.886 5.952 5.952 -3.886" Properties=species:S:1:pos:R:3 pbc="T T T"
Pr 5.952 2.976 0.971
Pr 0.000 2.976 2.914
Mg 0.000 0.000 0.000
Mg 2.976 2.976 -1.943
Mg 2.976 -2.976 1.943
Mg 0.000 5.952 0.000
Cd 5.952 -2.976 2.914
Cd 4.516 -0.560 1.344
Cd 7.388 -0.560 1.344
Cd 2.416 1.540 0.598
Cd 9.488 1.540 0.598
Cd 4.516 5.392 -1.344
Cd 1.436 -0.560 2.541
Cd 2.416 4.412 0.598
Cd 3.536 -1.540 4.484
Cd 2.416 7.492 -0.598
Cd 3.536 1.540 3.287
Cd 4.516 6.512 1.344
Cd 1.436 0.560 5.230
Cd -3.536 4.412 3.287
Cd 3.536 4.412 3.287
Cd -1.436 6.512 2.541
Cd 1.436 6.512 2.541
Cd 0.000 8.928 0.971
```

Values from the calculation:
Total moment = 0.00 Bohr magnetons per cell
Space group = I4_1/amd
Crystal system = tetragonal



#Q
VASP calculation (GGA-PBE) on PrMg2Cd9 after structural relaxation.

```
12
Lattice="9.970 0.000 0.000 -4.985 8.635 0.000 0.000 0.000 3.278" Properties=species:S:1:pos:R:3 pbc="T T T"
Pr 0.000 0.000 0.000
Mg 0.000 5.756 0.000
Mg 4.985 2.878 0.000
Cd -2.493 4.317 0.000
Cd 0.000 3.064 1.639
Cd -2.331 7.102 1.639
Cd 2.654 1.532 1.639
Cd 4.985 0.000 0.000
Cd 2.493 4.317 0.000
Cd 2.331 7.102 1.639
Cd 7.316 1.532 1.639
Cd 4.985 5.570 1.639
```

Values from the calculation:
Total moment = 0.13 Bohr magnetons per cell
Space group = P6/mmm
Crystal system = hexagonal



Energies relative to the most stable structure are #P 0.0; #Q 5.3, reported in kJ/mol of atoms.



#P
VASP calculation (GGA-PBE) on Mg3CdPt after structural relaxation.

```
5
Lattice="5.032 0.000 0.000 0.000 5.032 0.000 0.000 0.000 5.032" Properties=species:S:1:pos:R:3 pbc="T T T"
Mg 0.000 0.000 2.516
Mg 0.000 2.516 0.000
Mg 2.516 0.000 0.000
Cd 2.516 2.516 2.516
Pt 0.000 0.000 0.000
```

Values from the calculation:
Total moment = 0.00 Bohr magnetons per cell
Space group = Pm-3m
Crystal system = cubic



#Q
VASP calculation (GGA-PBE) on Mg3CdPt after structural relaxation.

```
15
Lattice="6.625 0.000 0.000 0.000 6.625 0.000 0.000 0.000 6.625" Properties=species:S:1:pos:R:3 pbc="T T T"
Mg 0.000 0.000 0.000
Mg 1.811 1.811 1.811
Mg 1.811 1.811 4.814
Mg 1.811 4.814 1.811
Mg 1.811 4.814 4.814
Mg 4.814 1.811 1.811
Mg 4.814 1.811 4.814
Mg 4.814 4.814 1.811
Mg 4.814 4.814 4.814
Cd 0.000 0.000 3.313
Cd 0.000 3.313 0.000
Cd 3.313 0.000 0.000
Pt 0.000 3.313 3.313
Pt 3.313 0.000 3.313
Pt 3.313 3.313 0.000
```

Values from the calculation:
Total moment = 0.00 Bohr magnetons per cell
Space group = Pm-3m
Crystal system = cubic



#R
VASP calculation (GGA-PBE) on Mg3CdPt after structural relaxation.

```
10
Lattice="0.000 4.526 7.596 2.966 0.000 7.596 2.966 4.526 0.000" Properties=species:S:1:pos:R:3 pbc="T T T"
Mg 2.966 2.595 6.016
Mg 2.966 4.526 3.251
Mg 2.966 2.595 9.175
Mg 2.966 6.457 6.016
Mg 2.966 4.526 11.940
Mg 2.966 6.457 9.175
Cd 4.547 4.526 7.596
Cd 1.386 4.526 7.596
Pt 1.483 2.263 3.798
Pt 4.450 6.789 11.394
```

Values from the calculation:
Total moment = 0.00 Bohr magnetons per cell
Space group = Fmmm
Crystal system = orthorhombic



Energies relative to the most stable structure are #P 18.9; #Q 0.9; #R 0.0, reported in kJ/mol of atoms.



#P
VASP calculation (GGA-PBE) on PuMg2Cd after structural relaxation.

```
4
Lattice="0.000 3.619 3.619 3.619 0.000 3.619 3.619 3.619 0.000" Properties=species:S:1:pos:R:3 pbc="T T T"
Pu 0.000 0.000 0.000
Mg 1.810 1.810 1.810
Mg 5.429 5.429 5.429
Cd 3.619 3.619 3.619
```

Values from the calculation:
Total moment = 5.82 Bohr magnetons per cell
Space group = Fm-3m
Crystal system = cubic



#Q
VASP calculation (GGA-PBE) on PuMg2Cd after structural relaxation.

```
4
Lattice="1.569 0.906 11.550 -1.569 0.906 11.550 0.000 -1.812 11.550" Properties=species:S:1:pos:R:3 pbc="T T T"
Pu 0.000 0.000 0.000
Mg 0.000 0.000 3.202
Mg 0.000 0.000 31.447
Cd 0.000 0.000 17.324
```

Values from the calculation:
Total moment = 6.05 Bohr magnetons per cell
Space group = R-3m
Crystal system = trigonal



#R
VASP calculation (GGA-PBE) on PuMg2Cd after structural relaxation.

```
4
Lattice="3.141 0.000 0.000 0.000 3.141 0.000 0.000 0.000 9.495" Properties=species:S:1:pos:R:3 pbc="T T T"
Pu 0.000 0.000 0.000
Mg 1.571 1.571 2.565
Mg 1.571 1.571 6.930
Cd 0.000 0.000 4.747
```

Values from the calculation:
Total moment = 5.94 Bohr magnetons per cell
Space group = P4/mmm
Crystal system = tetragonal



#S
VASP calculation (GGA-PBE) on PuMg2Cd after structural relaxation.

```
4
Lattice="1.583 0.914 10.874 -1.583 0.914 10.874 0.000 -1.828 10.874" Properties=species:S:1:pos:R:3 pbc="T T T"
Pu 0.000 0.000 0.000
Mg 0.000 0.000 18.869
Mg 0.000 0.000 24.591
Cd 0.000 0.000 5.418
```

Values from the calculation:
Total moment = 5.77 Bohr magnetons per cell
Space group = R3m
Crystal system = trigonal



Energies relative to the most stable structure are #P 7.4; #Q 17.2; #R 0.0; #S 3.0, reported in kJ/mol of atoms.



#P
VASP calculation (GGA-PBE) on PuMgCd3 after structural relaxation.

```
10
Lattice="5.147 0.000 0.000 0.000 3.131 0.000 0.000 0.000 14.446" Properties=species:S:1:pos:R:3 pbc="T T T"
Pu 1.287 0.000 2.236
Pu 3.860 0.000 12.210
Mg 1.287 1.566 5.370
Mg 3.860 1.566 9.076
Cd 1.287 0.000 8.048
Cd 1.287 1.566 10.689
Cd 1.287 1.566 13.699
Cd 3.860 0.000 6.398
Cd 3.860 1.566 0.747
Cd 3.860 1.566 3.757
```

Values from the calculation:
Total moment = 11.91 Bohr magnetons per cell
Space group = Pmma
Crystal system = orthorhombic



#Q
VASP calculation (GGA-PBE) on PuMgCd3 after structural relaxation.

```
10
Lattice="6.169 0.000 0.000 0.000 5.898 0.000 -0.078 0.000 6.722" Properties=species:S:1:pos:R:3 pbc="T T T"
Pu 0.750 1.475 2.565
Pu 5.341 4.424 4.157
Mg 0.404 4.424 0.758
Mg 5.687 1.475 5.964
Cd 2.060 0.004 5.588
Cd 2.060 2.945 5.588
Cd 2.218 4.424 2.984
Cd 3.873 1.475 3.738
Cd 4.031 2.953 1.134
Cd 4.031 5.894 1.134
```

Values from the calculation:
Total moment = 12.10 Bohr magnetons per cell
Space group = P2_1/m
Crystal system = monoclinic



Energies relative to the most stable structure are #P 0.0; #Q 6.9, reported in kJ/mol of atoms.



#P
VASP calculation (GGA-PBE) on RbMg14Cd after structural relaxation.

```
16
Lattice="6.536 0.000 0.000 -3.268 5.660 0.000 0.000 0.000 10.791" Properties=species:S:1:pos:R:3 pbc="T T T"
Rb 0.000 0.000 0.000
Mg -1.582 2.860 0.000
Mg 0.000 1.933 2.864
Mg 0.000 1.933 7.927
Mg -1.594 4.694 2.864
Mg -1.594 4.694 7.927
Mg 1.582 2.860 0.000
Mg 0.000 5.600 0.000
Mg 3.268 0.047 5.396
Mg 1.675 2.807 5.396
Mg 1.594 4.694 2.864
Mg 1.594 4.694 7.927
Mg 3.268 1.887 2.566
Mg 3.268 1.887 8.225
Mg 4.861 2.807 5.396
Cd 0.000 0.000 5.396
```

Values from the calculation:
Total moment = 0.00 Bohr magnetons per cell
Space group = P-6m2
Crystal system = hexagonal



#Q
VASP calculation (GGA-PBE) on RbMg14Cd after structural relaxation.

```
16
Lattice="10.728 0.000 0.000 0.000 3.287 5.671 0.000 -3.287 5.671" Properties=species:S:1:pos:R:3 pbc="T T T"
Rb 0.000 0.000 0.000
Mg 0.000 -1.575 8.468
Mg 0.000 1.575 8.468
Mg 2.540 0.000 3.812
Mg 2.829 -1.597 6.660
Mg 2.829 1.597 6.660
Mg 2.842 0.000 9.416
Mg 5.364 0.000 0.024
Mg 5.364 -1.605 2.878
Mg 5.364 1.605 2.878
Mg 5.364 0.000 5.655
Mg 7.886 0.000 9.416
Mg 7.899 -1.597 6.660
Mg 7.899 1.597 6.660
Mg 8.188 0.000 3.812
Cd 0.000 0.000 5.755
```

Values from the calculation:
Total moment = 0.00 Bohr magnetons per cell
Space group = Amm2
Crystal system = orthorhombic



Energies relative to the most stable structure are #P 0.7; #Q 0.0, reported in kJ/mol of atoms.



#P
VASP calculation (GGA-PBE) on RbMg2Cd6 after structural relaxation.

```
9
Lattice="7.919 -4.332 0.000 7.919 4.332 0.000 -0.761 0.000 3.426" Properties=species:S:1:pos:R:3 pbc="T T T"
Rb 0.000 0.000 0.000
Mg 4.955 0.000 2.916
Mg 10.122 0.000 0.509
Cd 4.842 2.759 1.100
Cd 7.539 1.404 1.713
Cd 10.236 2.759 2.326
Cd 4.842 -2.759 1.100
Cd 7.539 -1.404 1.713
Cd 10.236 -2.759 2.326
```

Values from the calculation:
Total moment = 0.00 Bohr magnetons per cell
Space group = C2/m
Crystal system = monoclinic



#Q
VASP calculation (GGA-PBE) on RbMg2Cd6 after structural relaxation.

```
18
Lattice="0.000 6.725 6.725 6.725 0.000 6.725 6.725 6.725 0.000" Properties=species:S:1:pos:R:3 pbc="T T T"
Rb 1.681 1.681 1.681
Rb 11.769 11.769 11.769
Mg 6.725 3.363 3.363
Mg 3.363 6.725 3.363
Mg 3.363 3.363 6.725
Mg 6.725 6.725 6.725
Cd 5.044 5.044 1.817
Cd 5.044 1.817 5.044
Cd 8.271 5.044 5.044
Cd 8.407 8.407 5.180
Cd 8.407 5.180 8.407
Cd 11.634 8.407 8.407
Cd 1.817 5.044 5.044
Cd 5.044 8.271 5.044
Cd 5.044 5.044 8.271
Cd 5.180 8.407 8.407
Cd 8.407 11.634 8.407
Cd 8.407 8.407 11.634
```

Values from the calculation:
Total moment = 0.00 Bohr magnetons per cell
Space group = Fd-3m
Crystal system = cubic



Energies relative to the most stable structure are #P 0.0; #Q 21.1, reported in kJ/mol of atoms.



#P
VASP calculation (GGA-PBE) on RbMg2Cd9 after structural relaxation.

```
12
Lattice="10.221 0.000 0.000 -5.110 8.852 0.000 0.000 0.000 3.328" Properties=species:S:1:pos:R:3 pbc="T T T"
Rb 0.000 0.000 0.000
Mg 0.000 5.901 0.000
Mg 5.110 2.951 0.000
Cd -2.555 4.426 0.000
Cd 0.000 3.271 1.664
Cd -2.277 7.216 1.664
Cd 2.833 1.636 1.664
Cd 5.110 0.000 0.000
Cd 2.555 4.426 0.000
Cd 2.277 7.216 1.664
Cd 7.388 1.636 1.664
Cd 5.110 5.580 1.664
```

Values from the calculation:
Total moment = 0.00 Bohr magnetons per cell
Space group = P6/mmm
Crystal system = hexagonal



#Q
VASP calculation (GGA-PBE) on RbMg2Cd9 after structural relaxation.

```
24
Lattice="-6.130 6.130 3.971 6.130 -6.130 3.971 6.130 6.130 -3.971" Properties=species:S:1:pos:R:3 pbc="T T T"
Rb 6.130 3.065 0.993
Rb 0.000 3.065 2.978
Mg 0.000 0.000 0.000
Mg 3.065 3.065 -1.985
Mg 3.065 -3.065 1.985
Mg 0.000 6.130 0.000
Cd 6.130 -3.065 2.978
Cd 4.640 -0.528 1.440
Cd 7.621 -0.528 1.440
Cd 2.537 1.575 0.545
Cd 9.724 1.575 0.545
Cd 4.640 5.602 -1.440
Cd 1.491 -0.528 2.531
Cd 2.537 4.556 0.545
Cd 3.594 -1.575 4.516
Cd 2.537 7.705 -0.545
Cd 3.594 1.575 3.426
Cd 4.640 6.659 1.440
Cd 1.491 0.528 5.411
Cd -3.594 4.556 3.426
Cd 3.594 4.556 3.426
Cd -1.491 6.659 2.531
Cd 1.491 6.659 2.531
Cd 0.000 9.196 0.993
```

Values from the calculation:
Total moment = 0.00 Bohr magnetons per cell
Space group = I4_1/amd
Crystal system = tetragonal



Energies relative to the most stable structure are #P 9.3; #Q 0.0, reported in kJ/mol of atoms.



#P
VASP calculation (GGA-PBE) on Mg7CdRh4 after structural relaxation.

```
12
Lattice="5.528 0.000 0.000 -1.819 5.390 0.000 -0.249 -1.359 6.908" Properties=species:S:1:pos:R:3 pbc="T T T"
Mg 0.000 0.000 0.000
Mg -0.921 4.075 2.532
Mg 0.497 2.692 0.077
Mg 0.894 2.729 4.342
Mg 2.567 1.302 2.566
Mg 2.964 1.340 6.831
Mg 4.381 -0.044 4.376
Cd 2.764 0.000 0.000
Rh -0.213 1.350 2.238
Rh 1.542 0.065 4.827
Rh 1.919 3.967 2.081
Rh 3.674 2.682 4.670
```

Values from the calculation:
Total moment = 0.00 Bohr magnetons per cell
Space group = P-1
Crystal system = triclinic



#Q
VASP calculation (GGA-PBE) on Mg7CdRh4 after structural relaxation.

```
12
Lattice="6.293 -2.414 0.000 6.293 2.414 0.000 -5.380 0.000 7.415" Properties=species:S:1:pos:R:3 pbc="T T T"
Mg 0.000 0.000 0.000
Mg -1.069 0.000 4.632
Mg 2.850 0.000 0.954
Mg 2.019 0.000 4.694
Mg 5.188 0.000 2.721
Mg 4.357 0.000 6.462
Mg 8.276 0.000 2.784
Cd 6.293 0.000 0.000
Rh -3.380 0.000 5.798
Rh 0.555 0.000 2.546
Rh 6.652 0.000 4.870
Rh 10.587 0.000 1.617
```

Values from the calculation:
Total moment = 0.00 Bohr magnetons per cell
Space group = C2/m
Crystal system = monoclinic



Energies relative to the most stable structure are #P 0.0; #Q 15.8, reported in kJ/mol of atoms.